The following is a meta-GGA SCAN calculation of a crystal of CoP2SF relaxed with PBEsol, from the Alexandria database.

The structure belongs to space group P4/mmm (No. 123); the cell edges are 4.2454, 4.2454 and 4.3355 Å and the angles 90.00°, 90.00° and 90.00°. The distinct sites, in fractional coordinates, are Co at (0.0000, 0.0000, 0.0000), P at (0.0000, 0.5000, 0.0000), S at (0.0000, 0.0000, 0.5000) and F at (0.5000, 0.5000, 0.5000).

The spin magnetization comes out at 0.3343 μB/atom. As for the energy relative to the elements, uncorrected: 0.4109 eV/atom. As for the theoretical density: 3.65 Mg/m³.